Compound: Ba5HoTl6
Source: the Alexandria database
Functional: PBE-GGA
Structure: relaxed

Cell: 10.343 10.343 5.936 Å, 106.57 106.57 47.33°
Sites, in units of the cell vectors:
1 Ba 0.000 0.000 0.000
2 Ba 0.160 0.160 0.660
3 Ba 0.314 0.314 0.314
4 Ba 0.686 0.686 0.686
5 Ba 0.840 0.840 0.340
6 Ho 0.500 0.500 0.000
7 Tl 0.134 0.566 0.850
8 Tl 0.296 0.704 0.500
9 Tl 0.434 0.866 0.150
10 Tl 0.566 0.134 0.850
11 Tl 0.704 0.296 0.500
12 Tl 0.866 0.434 0.150

Summary:
- final energy (eV/atom) = -2.75
- density of states at the Fermi level (states/eV/cell) = 8.0
- space-group type = No. 12
- theoretical density (Mg/m³) = 7.78


Compound: BaHoTl
Source: the Alexandria database
Functional: PBE-GGA
Structure: relaxed

Cell: 5.535 5.535 4.139 Å, 90.00 90.00 120.00°
Sites, in units of the cell vectors:
1 Ba 0.000 0.000 0.000
2 Ho 0.333 0.667 0.500
3 Tl 0.667 0.333 0.500

Summary:
- density of states at the Fermi level (states/eV/cell) = 4.2
- space-group type = No. 187
- theoretical density (Mg/m³) = 7.66
- energy above the most stable polymorph in this dataset (kJ/mol of atoms) = 19.6


Compound: BaHoTl2
Source: the Alexandria database
Functional: PBE-GGA
Structure: relaxed

Cell: 3.978 3.978 8.226 Å, 90.00 90.00 90.00°
Sites, in units of the cell vectors:
1 Ba 0.000 0.000 0.000
2 Ho 0.000 0.000 0.500
3 Tl 0.500 0.500 0.292
4 Tl 0.500 0.500 0.708

Summary:
- final energy (eV/atom) = -3.17
- density of states at the Fermi level (states/eV/cell) = 2.6
- space-group type = No. 123
- theoretical density (Mg/m³) = 9.07


Among the records above, which one has the lowest theoretical density? BaHoTl


Repeat the second record exactly.
Compound: BaHoTl
Source: the Alexandria database
Functional: PBE-GGA
Structure: relaxed

Cell: 5.535 5.535 4.139 Å, 90.00 90.00 120.00°
Sites, in units of the cell vectors:
1 Ba 0.000 0.000 0.000
2 Ho 0.333 0.667 0.500
3 Tl 0.667 0.333 0.500

Summary:
- density of states at the Fermi level (states/eV/cell) = 4.2
- space-group type = No. 187
- theoretical density (Mg/m³) = 7.66
- energy above the most stable polymorph in this dataset (kJ/mol of atoms) = 19.6


Please write out number 3 again, unchanged.
Compound: BaHoTl2
Source: the Alexandria database
Functional: PBE-GGA
Structure: relaxed

Cell: 3.978 3.978 8.226 Å, 90.00 90.00 90.00°
Sites, in units of the cell vectors:
1 Ba 0.000 0.000 0.000
2 Ho 0.000 0.000 0.500
3 Tl 0.500 0.500 0.292
4 Tl 0.500 0.500 0.708

Summary:
- final energy (eV/atom) = -3.17
- density of states at the Fermi level (states/eV/cell) = 2.6
- space-group type = No. 123
- theoretical density (Mg/m³) = 9.07


What is the theoretical density in the second record? 7.66 Mg/m³